# 1
First-principles (PBE) data for a relaxed structure of LaY2Mg, as listed in Alexandria via LeMat-Bulk.

Values from the calculation:
raw total energy: -19.32 eV per cell
total magnetization: 0.00 μB/f.u.

Unit cell a=3.5354 b=5.3192 c=6.8520 alpha=90.00 beta=101.41 gamma=90.00
Space group P2/m (No. 10)
Inequivalent atoms, fractional coordinates:
La (0.0000, 0.0000, 0.0000) x1
Y (0.4150, 0.5000, 0.7349) x2
Mg (0.0000, 0.0000, 0.5000) x1

=====

# 2
First-principles (PBE) data for a relaxed structure of TiFe3Pt, as listed in Alexandria via LeMat-Bulk.

Values from the calculation:
polymorph energy (0 for the lowest one): 35 meV per atom
total magnetization: 7.31 μB/f.u.

Unit cell a=4.6460 b=4.6460 c=4.6460 alpha=90.00 beta=90.00 gamma=90.00
Space group Pm-3m (No. 221)
Inequivalent atoms, fractional coordinates:
Ti (0.0000, 0.0000, 0.0000) x1
Fe (0.0000, 0.5000, 0.5000) x3
Pt (0.5000, 0.5000, 0.5000) x1

=====

# 3
First-principles (PBE) data for a relaxed structure of NbAlS2, as listed in Alexandria via LeMat-Bulk.

Values from the calculation:
total magnetization: 0.00 μB/f.u.
E_form (uncorrected): -1.8 eV per formula unit

Unit cell a=3.3118 b=3.3118 c=23.0706 alpha=90.00 beta=90.00 gamma=120.00
Space group R-3m (No. 166, hexagonal axes)
Inequivalent atoms, fractional coordinates:
Nb (0.0000, 0.0000, 0.0000) x3
Al (0.0000, 0.0000, 0.5000) x3
S (0.0000, 0.0000, 0.1063) x6